This record from Alexandria describes crystalline LiNpCuO4 at its relaxed geometry. The functional is PBE.

Cell: 6.2691 6.2670 7.2413 Å, 125.29 90.00 120.01°
Last column: nearest neighbours and their distance in Å.
Fractional coordinates of all 14 atoms:
O 0.7306 0.4613 0.7662  1 Np 1.88, 1 Li 2.01
O 0.2620 0.9611 0.7305  1 Cu 1.87, 1 Li 2.06
O 0.7380 0.0389 0.2695  1 Cu 1.87, 1 Li 2.06
O 0.7306 0.4613 0.1951  1 Np 1.88, 1 Li 2.01
O 0.2694 0.5387 0.2338  1 Np 1.88, 1 Li 2.01
O 0.2694 0.5387 0.8049  1 Np 1.88, 1 Li 2.01
O 0.6990 0.9611 0.7305  1 Cu 1.87, 1 Li 2.06
O 0.3010 0.0389 0.2695  1 Cu 1.87, 1 Li 2.06
Cu 0.0000 0.5000 0.5000  2 O 1.87
Cu 0.5000 0.5000 0.5000  2 O 1.87
Li 0.8886 0.7773 0.1386  4 O 2.01-2.06
Li 0.1114 0.2227 0.8614  4 O 2.01-2.06
Np 0.5000 0.0000 0.5000  2 O 1.88
Np 0.5000 0.0000 0.0000  2 O 1.88

raw formation energy	-2.10	eV/atom